No. 1
Density functional theory data (PBE-GGA) for crystalline RbZrHg2I at its relaxed geometry.

Calculated values
The theoretical density is 4.564 g/cm³. The calculation puts the formation energy (no corrections) at 248 meV per atom. The total moment comes out at 2.59 μB/cell. The density of states at the Fermi level is 4.62 states/eV/f.u.

a = 5.6697 Å, b = 5.6697 Å, c = 7.9768 Å
α = 90.00°, β = 90.00°, γ = 90.00°
With the nearest neighbours (Å) after each atom.
Element x y z (fractional)
Rb (0.0000, 0.0000, 0.0000)  2 Zr 3.99, 4 I 4.01
Zr (0.0000, 0.0000, 0.5000)  4 Hg 2.83
Hg (0.0000, 0.5000, 0.5000)  2 Zr 2.83
Hg (0.5000, 0.0000, 0.5000)  2 Zr 2.83
I (0.5000, 0.5000, 0.0000)  4 Rb 4.01

=====

No. 2
Density functional theory data (PBE-GGA) for crystalline RbZrHgI2 at its relaxed geometry.

Calculated values
The theoretical density is 5.356 g/cm³. The calculation puts the formation energy (no corrections) at -481 meV per atom. The total moment comes out at 0.00 μB/cell. The density of states at the Fermi level is 4.13 states/eV/f.u.

a = 5.8088 Å, b = 5.8088 Å, c = 5.7990 Å
α = 90.00°, β = 90.00°, γ = 90.00°
With the nearest neighbours (Å) after each atom.
Element x y z (fractional)
Rb (0.0000, 0.0000, 0.0000)  8 I 4.10, 4 Hg 4.11
Zr (0.5000, 0.5000, 0.5000)  2 Hg 2.90, 4 I 2.90
Hg (0.5000, 0.5000, 0.0000)  2 Zr 2.90
I (0.0000, 0.5000, 0.5000)  2 Zr 2.90
I (0.5000, 0.0000, 0.5000)  2 Zr 2.90

=====

No. 3
Density functional theory data (PBE-GGA) for crystalline Rb2ZrHgI6 at its relaxed geometry.

Calculated values
The theoretical density is 3.778 g/cm³. The calculation puts the formation energy (no corrections) at -1044 meV per atom. The total moment comes out at 0.00 μB/cell. The density of states at the Fermi level is 0.00 states/eV/f.u. As for the relative energy among the computed polymorphs: 0 meV/atom.

a = 9.2787 Å, b = 9.2787 Å, c = 9.2787 Å
α = 57.94°, β = 57.94°, γ = 57.94°
With the nearest neighbours (Å) after each atom.
Element x y z (fractional)
Rb (0.0000, 0.0000, 0.0000)  6 I 3.75-3.77, 1 Hg 4.18
Rb (0.4756, 0.4756, 0.4756)  6 I 3.75-3.79
Zr (0.6767, 0.6767, 0.6767)  6 I 2.89-2.90
Hg (0.1810, 0.1810, 0.1810)  6 I 3.87-3.95, 1 Rb 4.18
I (0.0004, 0.4785, 0.7710)  1 Zr 2.90
I (0.3500, 0.8735, 0.5890)  1 Zr 2.89
I (0.4785, 0.7710, 0.0004)  1 Zr 2.90
I (0.5890, 0.3500, 0.8735)  1 Zr 2.89
I (0.7710, 0.0004, 0.4785)  1 Zr 2.90
I (0.8735, 0.5890, 0.3500)  1 Zr 2.89

=====

No. 4
Density functional theory data (PBE-GGA) for crystalline ReHgI at its relaxed geometry.

Calculated values
The theoretical density is 11.629 g/cm³. The calculation puts the formation energy (no corrections) at 1001 meV per atom. The total moment comes out at 0.00 μB/cell. The density of states at the Fermi level is 2.45 states/eV/f.u. As for the relative energy among the computed polymorphs: 514 meV/atom.

a = 9.6175 Å, b = 3.2249 Å, c = 4.7333 Å
α = 90.00°, β = 92.09°, γ = 90.00°
With the nearest neighbours (Å) after each atom.
Element x y z (fractional)
Re (0.0000, 0.0000, 0.0000)  3 I 2.71, 4 Hg 2.82-2.94
Re (0.5000, 0.5000, 0.0000)  3 I 2.71, 4 Hg 2.82-2.94
Hg (0.4702, 0.0000, 0.5137)  4 Re 2.82-2.94
Hg (0.9702, 0.5000, 0.5137)  4 Re 2.82-2.94
I (0.2230, 0.5000, 0.0918)  3 Re 2.71
I (0.7230, 0.0000, 0.0918)  3 Re 2.71

=====

No. 5
Density functional theory data (PBE-GGA) for crystalline ReHgI2 at its relaxed geometry.

Calculated values
The theoretical density is 7.275 g/cm³. The calculation puts the formation energy (no corrections) at 751 meV per atom. The total moment comes out at 0.00 μB/cell. The density of states at the Fermi level is 3.74 states/eV/f.u. As for the relative energy among the computed polymorphs: 0 meV/atom.

a = 8.1946 Å, b = 8.1946 Å, c = 8.7096 Å
α = 90.00°, β = 90.00°, γ = 90.00°
With the nearest neighbours (Å) after each atom.
Element x y z (fractional)
Re (0.0000, 0.0000, 0.0000)  4 I 2.59
Re (0.0000, 0.5000, 0.2500)  4 I 2.59
Re (0.5000, 0.0000, 0.7500)  4 I 2.59
Re (0.5000, 0.5000, 0.5000)  4 I 2.59
Hg (0.0000, 0.0000, 0.5000)  8 I 3.75-4.02
Hg (0.0000, 0.5000, 0.7500)  8 I 3.75-4.02
Hg (0.5000, 0.0000, 0.2500)  8 I 3.75-4.02
Hg (0.5000, 0.5000, 0.0000)  8 I 3.75-4.02
I (0.1403, 0.2500, 0.1250)  2 Re 2.59
I (0.2500, 0.6403, 0.3750)  2 Re 2.59
I (0.2500, 0.8597, 0.8750)  2 Re 2.59
I (0.3597, 0.2500, 0.6250)  2 Re 2.59
I (0.6403, 0.7500, 0.6250)  2 Re 2.59
I (0.7500, 0.1403, 0.8750)  2 Re 2.59
I (0.7500, 0.3597, 0.3750)  2 Re 2.59
I (0.8597, 0.7500, 0.1250)  2 Re 2.59

=====

No. 6
Density functional theory data (PBE-GGA) for crystalline ReHgI at its relaxed geometry.

Calculated values
The theoretical density is 11.379 g/cm³. The calculation puts the formation energy (no corrections) at 1021 meV per atom. The total moment comes out at 0.00 μB/cell. The density of states at the Fermi level is 0.66 states/eV/f.u. As for the relative energy among the computed polymorphs: 534 meV/atom.

a = 5.8190 Å, b = 3.9534 Å, c = 6.5234 Å
α = 90.00°, β = 92.47°, γ = 90.00°
With the nearest neighbours (Å) after each atom.
Element x y z (fractional)
Re (0.0000, 0.0000, 0.0000)  3 I 2.60-2.62, 3 Hg 2.81-2.86
Re (0.5000, 0.5000, 0.0000)  3 I 2.60-2.62, 3 Hg 2.81-2.86
Hg (0.3424, 0.0000, 0.7099)  3 Re 2.81-2.86
Hg (0.8424, 0.5000, 0.7099)  3 Re 2.81-2.86
I (0.1495, 0.5000, 0.2329)  3 Re 2.60-2.62
I (0.6495, 0.0000, 0.2329)  3 Re 2.60-2.62

=====

No. 7
Density functional theory data (PBE-GGA) for crystalline ReHgI at its relaxed geometry.

Calculated values
The theoretical density is 10.470 g/cm³. The calculation puts the formation energy (no corrections) at 500 meV per atom. The total moment comes out at 0.00 μB/cell. The density of states at the Fermi level is 1.26 states/eV/f.u. As for the relative energy among the computed polymorphs: 13 meV/atom.

a = 3.6793 Å, b = 5.8862 Å, c = 7.8550 Å
α = 99.71°, β = 103.45°, γ = 90.02°
With the nearest neighbours (Å) after each atom.
Element x y z (fractional)
Re (0.0000, 0.0000, 0.0000)  2 Re 2.38
Re (0.4506, 0.7547, 0.9012)  2 Re 2.38
Hg (0.5755, 0.4615, 0.1531)  1 Re 2.80, 1 Hg 2.96
Hg (0.6478, 0.0254, 0.2961)  3 Re 2.90-3.16, 1 Hg 2.96
I (0.2744, 0.7347, 0.5471)  1 Re 2.69
I (0.8873, 0.3051, 0.7728)  1 Re 2.71

=====

No. 8
Density functional theory data (PBE-GGA) for crystalline ReHgI at its relaxed geometry.

Calculated values
The theoretical density is 10.233 g/cm³. The calculation puts the formation energy (no corrections) at 487 meV per atom. The total moment comes out at 0.00 μB/cell. The density of states at the Fermi level is 0.76 states/eV/f.u. As for the relative energy among the computed polymorphs: 0 meV/atom.

a = 3.7102 Å, b = 5.6933 Å, c = 8.0764 Å
α = 102.23°, β = 90.27°, γ = 90.05°
With the nearest neighbours (Å) after each atom.
Element x y z (fractional)
Re (0.0000, 0.0000, 0.0000)  2 Re 2.37
Re (0.4988, 0.7540, 0.8946)  2 Re 2.37
Hg (0.4798, 0.7746, 0.5659)  1 Re 2.68
Hg (0.9954, 0.3154, 0.7667)  3 Re 2.87-3.11
I (0.0006, 0.0513, 0.3423)  1 Re 2.72
I (0.5007, 0.4628, 0.1229)  1 Re 2.73

=====

No. 9
Density functional theory data (PBE-GGA) for crystalline ReHgI at its relaxed geometry.

Calculated values
The theoretical density is 12.659 g/cm³. The calculation puts the formation energy (no corrections) at 1021 meV per atom. The total moment comes out at 0.00 μB/cell. The density of states at the Fermi level is 2.36 states/eV/f.u. As for the relative energy among the computed polymorphs: 534 meV/atom.

a = 3.3541 Å, b = 3.3541 Å, c = 6.9162 Å
α = 90.00°, β = 90.00°, γ = 120.00°
With the nearest neighbours (Å) after each atom.
Element x y z (fractional)
Re (0.0000, 0.0000, 0.0000)  3 I 2.67, 3 Hg 2.90
Hg (0.3333, 0.6667, 0.3119)  3 Re 2.90
I (0.6667, 0.3333, 0.7344)  3 Re 2.67

=====

No. 10
Density functional theory data (PBE-GGA) for crystalline ReHgI2 at its relaxed geometry.

Calculated values
The theoretical density is 11.242 g/cm³. The calculation puts the formation energy (no corrections) at 1344 meV per atom. The total moment comes out at 0.00 μB/cell. The density of states at the Fermi level is 5.44 states/eV/f.u. As for the relative energy among the computed polymorphs: 593 meV/atom.

a = 7.2336 Å, b = 7.2336 Å, c = 7.2336 Å
α = 90.00°, β = 90.00°, γ = 90.00°
With the nearest neighbours (Å) after each atom.
Element x y z (fractional)
Re (0.0000, 0.0000, 0.0000)  8 I 3.13
Re (0.0000, 0.5000, 0.5000)  8 I 3.13
Re (0.5000, 0.0000, 0.5000)  8 I 3.13
Re (0.5000, 0.5000, 0.0000)  8 I 3.13
Hg (0.0000, 0.0000, 0.5000)  8 I 3.13
Hg (0.0000, 0.5000, 0.0000)  8 I 3.13
Hg (0.5000, 0.0000, 0.0000)  8 I 3.13
Hg (0.5000, 0.5000, 0.5000)  8 I 3.13
I (0.2500, 0.2500, 0.2500)  4 Hg 3.13, 4 Re 3.13
I (0.2500, 0.2500, 0.7500)  4 Hg 3.13, 4 Re 3.13
I (0.2500, 0.7500, 0.2500)  4 Hg 3.13, 4 Re 3.13
I (0.2500, 0.7500, 0.7500)  4 Hg 3.13, 4 Re 3.13
I (0.7500, 0.2500, 0.2500)  4 Hg 3.13, 4 Re 3.13
I (0.7500, 0.2500, 0.7500)  4 Hg 3.13, 4 Re 3.13
I (0.7500, 0.7500, 0.2500)  4 Hg 3.13, 4 Re 3.13
I (0.7500, 0.7500, 0.7500)  4 Hg 3.13, 4 Re 3.13

=====

No. 11
Density functional theory data (PBE-GGA) for crystalline ReHgI3 at its relaxed geometry.

Calculated values
The theoretical density is 6.172 g/cm³. The calculation puts the formation energy (no corrections) at 1229 meV per atom. The total moment comes out at 5.97 μB/cell. The density of states at the Fermi level is 1.01 states/eV/f.u. As for the relative energy among the computed polymorphs: 726 meV/atom.

a = 5.9106 Å, b = 5.9106 Å, c = 5.9106 Å
α = 90.00°, β = 90.00°, γ = 90.00°
With the nearest neighbours (Å) after each atom.
Element x y z (fractional)
Re (0.0000, 0.0000, 0.0000)  12 I 4.18
Hg (0.5000, 0.5000, 0.5000)  6 I 2.96
I (0.0000, 0.5000, 0.5000)  2 Hg 2.96
I (0.5000, 0.0000, 0.5000)  2 Hg 2.96
I (0.5000, 0.5000, 0.0000)  2 Hg 2.96

=====

No. 12
Density functional theory data (PBE-GGA) for crystalline ReHgI3 at its relaxed geometry.

Calculated values
The theoretical density is 7.315 g/cm³. The calculation puts the formation energy (no corrections) at 503 meV per atom. The total moment comes out at 3.33 μB/cell. The density of states at the Fermi level is 2.47 states/eV/f.u. As for the relative energy among the computed polymorphs: 0 meV/atom.

a = 5.5852 Å, b = 5.5852 Å, c = 5.5852 Å
α = 90.00°, β = 90.00°, γ = 90.00°
With the nearest neighbours (Å) after each atom.
Element x y z (fractional)
Re (0.0000, 0.0000, 0.0000)  6 I 2.79
Hg (0.5000, 0.5000, 0.5000)  12 I 3.95
I (0.0000, 0.0000, 0.5000)  2 Re 2.79
I (0.0000, 0.5000, 0.0000)  2 Re 2.79
I (0.5000, 0.0000, 0.0000)  2 Re 2.79

=====

Which of these has the highest total moment?
number 11

=====

What is the formula in the eighth record?
ReHgI